The following is a PBE calculation of an optimized crystal structure of Na2SrTcCl8, from Alexandria via LeMat-Bulk.

Cell: 6.3298 8.3518 6.5366 Å, 90.00 91.70 90.00°
Space group P2/m (No. 10)
Unique sites:
Na: 0.0000 0.2480 0.0000 (multiplicity 2)
Sr: 0.5000 0.0000 0.5000 (multiplicity 1)
Tc: 0.5000 0.5000 0.5000 (multiplicity 1)
Cl: 0.2171 0.0000 0.1675 (multiplicity 2)
Cl: 0.2700 0.5000 0.2060 (multiplicity 2)
Cl: 0.2888 0.2974 0.6509 (multiplicity 4)

Computed properties:
Energy = -47.1 eV/cell
E_form (uncorrected) = -1.469 eV/atom
Total magnetic moment = 0.25 μB/atom